Record 1
This record from Alexandria via LeMat-Bulk describes YTaSi3 at its PBEsol-relaxed geometry. The functional is SCAN.

## Properties
Formation energy (no corrections) = 17 kJ per mole of atoms
Energy = -24.72 eV/atom

Cell: 4.7640 4.7640 4.7640 Å, 90.00 90.00 90.00°
Last column: nearest neighbours and their distance in Å.
Space group Pm-3m (No. 221)
Symmetry-distinct sites (fractional):
Y 0.0000 0.0000 0.0000 [1 per cell]  12 Si 3.37
Ta 0.5000 0.5000 0.5000 [1 per cell]  6 Si 2.38
Si 0.0000 0.5000 0.5000 [3 per cell]  2 Ta 2.38



Record 2
This record from Alexandria via LeMat-Bulk describes YTa2Si at its PBEsol-relaxed geometry. The functional is SCAN.

## Properties
Formation energy (no corrections) = 22 kJ per mole of atoms
Energy = -42.53 eV/atom

Cell: 5.7479 9.7171 3.0217 Å, 90.00 117.90 90.00°
Last column: nearest neighbours and their distance in Å.
Space group C2/m (No. 12)
Symmetry-distinct sites (fractional):
Y 0.0000 0.0000 0.0000 [2 per cell]  4 Ta 2.87, 4 Si 2.87-3.04, 2 Y 3.02
Ta 0.2500 0.2500 0.5000 [4 per cell]  2 Si 2.87, 2 Y 2.87, 6 Ta 2.87-3.04
Si 0.0000 0.5000 0.0000 [2 per cell]  4 Ta 2.87, 4 Y 2.87-3.04, 2 Si 3.02



Record 3
This record from Alexandria via LeMat-Bulk describes YTa4Si at its PBEsol-relaxed geometry. The functional is SCAN.

## Properties
Formation energy (no corrections) = 41 kJ per mole of atoms
Energy = -50.28 eV/atom

Cell: 7.7748 7.7748 7.7748 Å, 90.00 90.00 90.00°
Last column: nearest neighbours and their distance in Å.
Space group F-43m (No. 216)
Symmetry-distinct sites (fractional):
Y 0.0000 0.0000 0.0000 [4 per cell]  12 Ta 3.22, 4 Si 3.37
Ta 0.1265 0.1265 0.3735 [16 per cell]  6 Ta 2.72-2.78
Si 0.2500 0.2500 0.7500 [4 per cell]  12 Ta 3.23, 4 Y 3.37



Record 4
This record from Alexandria via LeMat-Bulk describes YTaSi2 at its PBEsol-relaxed geometry. The functional is SCAN.

## Properties
Formation energy (no corrections) = -7 kJ per mole of atoms
Energy = -28.69 eV/atom
Offset from the most stable computed form = 0.105 eV/atom

Cell: 3.8819 3.9763 4.5481 Å, 90.00 90.00 90.00°
Last column: nearest neighbours and their distance in Å.
Space group Pmmm (No. 47)
Symmetry-distinct sites (fractional):
Y 0.0000 0.0000 0.0000 [1 per cell]  8 Si 2.78-2.99, 4 Ta 3.02
Ta 0.0000 0.5000 0.5000 [1 per cell]  8 Si 2.78-2.99, 4 Y 3.02
Si 0.5000 0.0000 0.5000 [1 per cell]  4 Ta 2.78, 4 Y 2.99, 4 Si 3.02
Si 0.5000 0.5000 0.0000 [1 per cell]  4 Y 2.78, 4 Ta 2.99, 4 Si 3.02



Record 5
This record from Alexandria via LeMat-Bulk describes YTaSi2 at its PBEsol-relaxed geometry. The functional is SCAN.

## Properties
Formation energy (no corrections) = -4 kJ per mole of atoms
Energy = -28.65 eV/atom
Offset from the most stable computed form = 0.140 eV/atom

Cell: 3.2793 3.2793 6.8173 Å, 90.00 90.00 90.00°
Last column: nearest neighbours and their distance in Å.
Space group P4mm (No. 99)
Symmetry-distinct sites (fractional):
Y 0.0000 0.0000 0.0000 [1 per cell]  5 Si 3.06-3.27, 4 Ta 3.25, 4 Y 3.28
Ta 0.5000 0.5000 0.6667 [1 per cell]  5 Si 2.54-2.65
Si 0.0000 0.0000 0.4799 [1 per cell]  4 Si 2.64, 4 Ta 2.65
Si 0.5000 0.5000 0.2939 [1 per cell]  1 Ta 2.54, 4 Si 2.64



Record 6
This record from Alexandria via LeMat-Bulk describes YTa2Si at its PBEsol-relaxed geometry. The functional is SCAN.

## Properties
Formation energy (no corrections) = 34 kJ per mole of atoms
Energy = -42.41 eV/atom

Cell: 3.0110 3.0110 28.7358 Å, 90.00 90.00 120.00°
Last column: nearest neighbours and their distance in Å.
Space group R-3m (No. 166, hexagonal axes)
Symmetry-distinct sites (fractional):
Y 0.0000 0.0000 0.0000 [3 per cell]  6 Y 3.01, 6 Ta 3.20
Ta 0.0000 0.0000 0.2398 [6 per cell]  3 Si 2.73, 6 Ta 3.01
Si 0.0000 0.0000 0.5000 [3 per cell]  6 Ta 2.73, 6 Si 3.01



Record 7
This record from Alexandria via LeMat-Bulk describes TaZnSi2 at its PBEsol-relaxed geometry. The functional is SCAN.

## Properties
Formation energy (no corrections) = 23 kJ per mole of atoms
Energy = -24.79 eV/atom

Cell: 2.7279 2.7279 8.0316 Å, 90.00 90.00 90.00°
Last column: nearest neighbours and their distance in Å.
Space group P4mm (No. 99)
Symmetry-distinct sites (fractional):
Ta 0.0000 0.0000 0.0000 [1 per cell]  4 Ta 2.73, 4 Si 2.76, 4 Zn 2.85
Zn 0.5000 0.5000 0.2606 [1 per cell]  4 Zn 2.73, 4 Si 2.74, 4 Ta 2.85
Si 0.0000 0.0000 0.5036 [1 per cell]  8 Si 2.73-2.79, 4 Zn 2.74
Si 0.5000 0.5000 0.7551 [1 per cell]  8 Si 2.73-2.79, 4 Ta 2.76



Record 8
This record from Alexandria via LeMat-Bulk describes TaZnSi at its PBEsol-relaxed geometry. The functional is SCAN.

## Properties
Formation energy (no corrections) = 34 kJ per mole of atoms
Energy = -29.69 eV/atom

Cell: 5.8525 5.8525 5.8525 Å, 90.00 90.00 90.00°
Last column: nearest neighbours and their distance in Å.
Space group F-43m (No. 216)
Symmetry-distinct sites (fractional):
Ta 0.0000 0.0000 0.0000 [4 per cell]  4 Si 2.53
Zn 0.0000 0.0000 0.5000 [4 per cell]  4 Si 2.53
Si 0.2500 0.2500 0.7500 [4 per cell]  4 Ta 2.53, 4 Zn 2.53



Record 9
This record from Alexandria via LeMat-Bulk describes Ta2ZnSi at its PBEsol-relaxed geometry. The functional is SCAN.

## Properties
Formation energy (no corrections) = 27 kJ per mole of atoms
Energy = -38.89 eV/atom

Cell: 6.2979 6.2979 6.2979 Å, 90.00 90.00 90.00°
Last column: nearest neighbours and their distance in Å.
Space group F-43m (No. 216)
Symmetry-distinct sites (fractional):
Ta 0.0000 0.0000 0.0000 [4 per cell]  4 Ta 2.73, 4 Si 2.73
Ta 0.2500 0.2500 0.2500 [4 per cell]  4 Zn 2.73, 4 Ta 2.73
Zn 0.0000 0.0000 0.5000 [4 per cell]  4 Ta 2.73, 4 Si 2.73
Si 0.2500 0.2500 0.7500 [4 per cell]  4 Ta 2.73, 4 Zn 2.73



Record 10
This record from Alexandria via LeMat-Bulk describes TaZnSi2 at its PBEsol-relaxed geometry. The functional is SCAN.

## Properties
Formation energy (no corrections) = 11 kJ per mole of atoms
Energy = -24.92 eV/atom

Cell: 2.9237 2.9237 24.5501 Å, 90.00 90.00 120.00°
Last column: nearest neighbours and their distance in Å.
Space group R-3m (No. 166, hexagonal axes)
Symmetry-distinct sites (fractional):
Ta 0.0000 0.0000 0.0000 [3 per cell]  6 Si 2.69, 6 Ta 2.92
Zn 0.0000 0.0000 0.5000 [3 per cell]  6 Si 2.62, 6 Zn 2.92
Si 0.0000 0.0000 0.2482 [6 per cell]  3 Zn 2.62, 3 Ta 2.69, 6 Si 2.92



Record 11
This record from Alexandria via LeMat-Bulk describes TaZnSi at its PBEsol-relaxed geometry. The functional is SCAN.

## Properties
Formation energy (no corrections) = 52 kJ per mole of atoms
Energy = -29.50 eV/atom

Cell: 6.0099 6.0099 6.0099 Å, 90.00 90.00 90.00°
Last column: nearest neighbours and their distance in Å.
Space group F-43m (No. 216)
Symmetry-distinct sites (fractional):
Ta 0.0000 0.0000 0.0000 [4 per cell]  4 Zn 2.60, 4 Si 2.60
Zn 0.2500 0.2500 0.7500 [4 per cell]  4 Ta 2.60
Si 0.2500 0.2500 0.2500 [4 per cell]  4 Ta 2.60



Record 12
This record from Alexandria via LeMat-Bulk describes ZrTa2Si at its PBEsol-relaxed geometry. The functional is SCAN.

## Properties
Formation energy (no corrections) = -1 kJ per mole of atoms
Energy = -43.48 eV/atom

Cell: 2.8408 2.8408 8.6422 Å, 90.00 90.00 90.00°
Last column: nearest neighbours and their distance in Å.
Space group P4/mmm (No. 123)
Symmetry-distinct sites (fractional):
Zr 0.0000 0.0000 0.0000 [1 per cell]  4 Zr 2.84
Ta 0.5000 0.5000 0.2870 [2 per cell]  4 Si 2.72, 4 Ta 2.84
Si 0.0000 0.0000 0.5000 [1 per cell]  8 Ta 2.72, 4 Si 2.84